No. 1
Here is a relaxed RbMnPbI5 crystal from Alexandria. Energies are from GGA-PBE.

Cell lengths 8.7374, 8.7374, 11.5689 Å; angles 104.46, 104.46, 105.62 degrees
Element x y z (fractional)
Rb: 0.3534 0.6466 0.2500
Rb: 0.6466 0.3534 0.7500
Mn: 0.6851 0.3149 0.2500
Mn: 0.3149 0.6851 0.7500
Pb: 0.0000 0.0000 0.5000
Pb: 0.0000 0.0000 0.0000
I: 0.0933 0.9067 0.2500
I: 0.9067 0.0933 0.7500
I: 0.9109 0.3329 0.1267
I: 0.0891 0.6671 0.8733
I: 0.6671 0.0891 0.3733
I: 0.3329 0.9109 0.6267
I: 0.7487 0.6078 0.4363
I: 0.2513 0.3922 0.5637
I: 0.3922 0.2513 0.0637
I: 0.6078 0.7487 0.9363

Mass density (g/cm3): 4.21
Raw total energy (eV for the cell shown): -55.572
Formation energy (no corrections) (eV per atom): -0.774

---

No. 2
Here is a relaxed RbMnPb2I8 crystal from Alexandria. Energies are from GGA-PBE.

Cell lengths 7.8373, 7.1982, 9.7453 Å; angles 90.20, 90.19, 85.96 degrees
Element x y z (fractional)
Rb: 0.0000 0.0000 0.5000
Mn: 0.0000 0.0000 0.0000
Pb: 0.4996 0.5009 0.7691
Pb: 0.5004 0.4991 0.2309
I: 0.1429 0.7742 0.1931
I: 0.6665 0.7583 0.0015
I: 0.8608 0.2288 0.1932
I: 0.8571 0.2258 0.8069
I: 0.3335 0.2417 0.9985
I: 0.1392 0.7712 0.8068
I: 0.7140 0.6325 0.5009
I: 0.2860 0.3675 0.4991

Mass density (g/cm3): 4.75
Raw total energy (eV for the cell shown): -37.241
Formation energy (no corrections) (eV per atom): -0.607

---

No. 3
Here is a relaxed RbMnPbI2 crystal from Alexandria. Energies are from GGA-PBE.

Cell lengths 5.6541, 6.9538, 5.6541 Å; angles 90.00, 90.00, 90.00 degrees
Element x y z (fractional)
Pb: 0.5000 0.5000 0.5000
I: 0.0000 0.0000 0.5000
I: 0.5000 0.0000 0.0000
Mn: 0.0000 0.0000 0.0000
Rb: 0.0000 0.5000 0.0000

Mass density (g/cm3): 4.49
Raw total energy (eV for the cell shown): -16.073
Formation energy (no corrections) (eV per atom): 0.174

---

No. 4
Here is a relaxed Rb2MnPbI6 crystal from Alexandria. Energies are from GGA-PBE.

Cell lengths 8.6154, 8.6172, 8.4404 Å; angles 59.27, 59.27, 59.99 degrees
Element x y z (fractional)
Rb: 0.5530 0.5524 0.3423
Rb: 0.0792 0.0797 0.7618
Mn: 0.3160 0.3160 0.0513
Pb: 0.8160 0.8163 0.5513
I: 0.5470 0.1529 0.2927
I: 0.1531 0.0072 0.2944
I: 0.0078 0.5459 0.2939
I: 0.4795 0.6251 0.8087
I: 0.6246 0.0864 0.8089
I: 0.0854 0.4797 0.8100

Mass density (g/cm3): 4.53
Raw total energy (eV for the cell shown): -33.071
Formation energy (no corrections) (eV per atom): -0.896

---

No. 5
Here is a relaxed MnSbPbI2 crystal from Alexandria. Energies are from GGA-PBE.

Cell lengths 5.4630, 5.4630, 5.5325 Å; angles 90.00, 90.00, 90.00 degrees
Element x y z (fractional)
Pb: 0.5000 0.5000 0.5000
I: 0.0000 0.5000 0.0000
I: 0.5000 0.0000 0.0000
Mn: 0.0000 0.0000 0.0000
Sb: 0.0000 0.0000 0.5000

Energy above the most stable polymorph in this dataset (kJ/mol of formula units): 0.0
Mass density (g/cm3): 6.41
Raw total energy (eV for the cell shown): -19.300
Formation energy (no corrections) (eV per atom): 0.160

---

No. 6
Here is a relaxed TaMn2PbI crystal from Alexandria. Energies are from GGA-PBE.

Cell lengths 4.7840, 5.9507, 4.7840 Å; angles 90.00, 90.00, 90.00 degrees
Element x y z (fractional)
Pb: 0.0000 0.5000 0.0000
I: 0.0000 0.0000 0.0000
Mn: 0.0000 0.0000 0.5000
Mn: 0.5000 0.0000 0.0000
Ta: 0.5000 0.5000 0.5000

Energy above the most stable polymorph in this dataset (kJ/mol of formula units): 326.5
Mass density (g/cm3): 7.62
Raw total energy (eV for the cell shown): -26.384
Formation energy (no corrections) (eV per atom): 1.813

---

No. 7
Here is a relaxed TaMn2PbI crystal from Alexandria. Energies are from GGA-PBE.

Cell lengths 4.8703, 5.5240, 4.8703 Å; angles 90.00, 90.00, 90.00 degrees
Element x y z (fractional)
Pb: 0.5000 0.5000 0.5000
I: 0.0000 0.5000 0.0000
Mn: 0.0000 0.0000 0.5000
Mn: 0.5000 0.0000 0.0000
Ta: 0.0000 0.0000 0.0000

Energy above the most stable polymorph in this dataset (kJ/mol of formula units): 0.0
Mass density (g/cm3): 7.92
Raw total energy (eV for the cell shown): -29.768
Formation energy (no corrections) (eV per atom): 1.136

---

No. 8
Here is a relaxed TaMnPb2I crystal from Alexandria. Energies are from GGA-PBE.

Cell lengths 6.0126, 5.0676, 6.0126 Å; angles 90.00, 90.00, 90.00 degrees
Element x y z (fractional)
Pb: 0.0000 0.0000 0.5000
Pb: 0.5000 0.0000 0.0000
I: 0.0000 0.0000 0.0000
Mn: 0.5000 0.5000 0.5000
Ta: 0.0000 0.5000 0.0000

Mass density (g/cm3): 7.04
Raw total energy (eV for the cell shown): -21.355
Formation energy (no corrections) (eV per atom): 1.727